Below is a relaxed TlAsRh2 crystal, with properties calculated at the PBE level.

Summary:
V ... 72 Å³/f.u.
ΔH_f (0 K) ... -0.12 eV per atom
Spin magnetization ... 0.00 μB per formula unit
SG ... No. 44
Energy ... -5.554 eV/atom

Unit cell a=6.328 b=6.328 c=6.328 alpha=149.24 beta=146.06 gamma=46.46
Fractional coordinates of all 4 atoms:
Tl1 0.456 0.456 0.000
Rh1 0.064 0.064 0.000
Rh2 0.766 0.266 0.500
As1 0.214 0.714 0.500

Below is a relaxed Fe2AgTe crystal, with properties calculated at the PBE level.

Summary:
E_form (uncorrected) ... 0.380 eV/atom
V ... 68 Å³/f.u.
Spin magnetization ... 5.08 μB per formula unit
SG ... No. 6
Energy ... -5.350 eV/atom

Unit cell a=4.115 b=3.325 c=5.254 alpha=71.60 beta=90.00 gamma=90.00
Fractional coordinates of all 4 atoms:
Ag1 0.500 0.776 0.822
Fe1 0.000 0.191 0.990
Fe2 0.500 0.060 0.258
Te1 0.000 0.473 0.430

Below is a relaxed TaGa2RePd crystal, with properties calculated at the PBE level.

Summary:
V ... 118 Å³/f.u.
ΔH_f (0 K) ... 1.35 eV per atom
Spin magnetization ... 1.57 μB per formula unit
SG ... No. 123
Energy ... -5.756 eV/atom

Unit cell a=4.948 b=4.800 c=4.948 alpha=90.00 beta=90.00 gamma=90.00
Fractional coordinates of all 5 atoms:
Re1 0.000 0.500 0.000
Ga1 0.000 0.000 0.500
Ga2 0.500 0.000 0.000
Pd1 0.500 0.500 0.500
Ta1 0.000 0.000 0.000

Below is a relaxed AgPb crystal, with properties calculated at the PBE level.

Summary:
V ... 49 Å³/f.u.
ΔH_f (0 K) ... 0.15 eV per atom
Spin magnetization ... 0.00 μB per formula unit
SG ... No. 59
Energy ... -3.131 eV/atom

Unit cell a=3.375 b=5.225 c=5.602 alpha=90.00 beta=90.00 gamma=90.00
Fractional coordinates of all 4 atoms:
Pb1 0.500 0.000 0.531
Pb2 0.000 0.500 0.302
Ag1 0.000 0.000 0.992
Ag2 0.500 0.500 0.841

Below is a relaxed TaHg2P crystal, with properties calculated at the PBE level.

Summary:
V ... 77 Å³/f.u.
ΔH_f (0 K) ... 0.50 eV per atom
Spin magnetization ... 0.18 μB per formula unit
SG ... No. 47
Energy ... -3.965 eV/atom

Unit cell a=3.470 b=4.293 c=5.150 alpha=90.00 beta=90.00 gamma=90.00
Fractional coordinates of all 4 atoms:
Ta1 0.000 0.500 0.500
Hg1 0.000 0.000 0.000
Hg2 0.500 0.500 0.000
P1 0.500 0.000 0.500

Below is a relaxed La2SnGe crystal, with properties calculated at the PBE level.

Summary:
V ... 132 Å³/f.u.
ΔH_f (0 K) ... -0.63 eV per atom
Spin magnetization ... 0.00 μB per formula unit
SG ... No. 166
Energy ... -5.247 eV/atom

Unit cell a=4.387 b=4.387 c=8.291 alpha=74.66 beta=74.66 gamma=60.00
Fractional coordinates of all 4 atoms:
Ge1 0.000 0.000 0.000
Sn1 0.500 0.500 0.500
La1 0.740 0.740 0.779
La2 0.260 0.260 0.221

Below is a relaxed Tb7Nd3Y crystal, with properties calculated at the PBE level.

Summary:
V ... 373 Å³/f.u.
Distance to the lowest polymorph of the same formula ... 121 meV per atom
ΔH_f (0 K) ... 0.26 eV per atom
Spin magnetization ... 0.33 μB per formula unit
SG ... No. 71
Energy ... -4.577 eV/atom

Unit cell a=5.887 b=8.488 c=8.488 alpha=83.27 beta=110.30 gamma=110.30
Fractional coordinates of all 11 atoms:
Tb1 0.205 0.205 0.205
Tb2 0.294 0.992 0.597
Tb3 0.706 0.403 0.008
Tb4 0.294 0.597 0.992
Tb5 0.000 0.500 0.500
Tb6 0.706 0.008 0.403
Tb7 0.795 0.795 0.795
Nd1 0.000 0.787 0.213
Nd2 0.500 0.000 0.000
Nd3 0.000 0.213 0.787
Y1 0.500 0.500 0.500

Below is a relaxed Tb2TmAu crystal, with properties calculated at the PBE level.

Summary:
V ... 110 Å³/f.u.
Distance to the lowest polymorph of the same formula ... 65 meV per atom
ΔH_f (0 K) ... -0.38 eV per atom
Spin magnetization ... 0.00 μB per formula unit
SG ... No. 123
Energy ... -4.633 eV/atom

Unit cell a=3.629 b=3.629 c=8.372 alpha=90.00 beta=90.00 gamma=90.00
Fractional coordinates of all 4 atoms:
Tb1 0.000 0.000 0.789
Tb2 0.000 0.000 0.211
Tm1 0.500 0.500 0.500
Au1 0.500 0.500 0.000